Entry 1:
# LaPtRh, relaxed, DFT GGA-PBE
# Offset from the most stable computed form: 424.6 meV/atom
# Space group: F-43m (216)
# Theoretical density: 10.5 g/cm³
# ΔE_f: -0.50 eV/atom
# Fermi-level density of states: 0.87 states/eV per atom
data_LaPtRh
_cell_length_a 4.6001
_cell_length_b 4.6001
_cell_length_c 4.6001
_cell_angle_alpha 60.00
_cell_angle_beta 60.00
_cell_angle_gamma 60.00
_space_group_name_H-M_alt 'P 1'
_space_group_IT_number 1
_space_group_name_Hall 'P 1'
loop_
_atom_site_label
_atom_site_type_symbol
_atom_site_fract_x
_atom_site_fract_y
_atom_site_fract_z
La1 La 0.0000 0.0000 0.0000
Pt1 Pt 0.5000 0.5000 0.5000
Rh1 Rh 0.2500 0.2500 0.2500

***

Entry 2:
# LaPtRh, relaxed, DFT GGA-PBE
# Offset from the most stable computed form: 79.3 meV/atom
# Space group: P-6m2 (187)
# Theoretical density: 10.7 g/cm³
# ΔE_f: -0.85 eV/atom
# Fermi-level density of states: 0.41 states/eV per atom
data_LaPtRh
_cell_length_a 4.4033
_cell_length_b 4.4033
_cell_length_c 4.0244
_cell_angle_alpha 90.00
_cell_angle_beta 90.00
_cell_angle_gamma 120.00
_space_group_name_H-M_alt 'P 1'
_space_group_IT_number 1
_space_group_name_Hall 'P 1'
loop_
_atom_site_label
_atom_site_type_symbol
_atom_site_fract_x
_atom_site_fract_y
_atom_site_fract_z
Rh1 Rh 0.3333 0.6667 0.5000
Pt1 Pt 0.6667 0.3333 0.5000
La1 La 0.0000 0.0000 0.0000

***

Entry 3:
# La4PtRh2, relaxed, DFT GGA-PBE
# Space group: C2/m (12)
# Theoretical density: 7.7 g/cm³
# ΔE_f: -0.79 eV/atom
# Fermi-level density of states: 0.69 states/eV per atom
data_La4PtRh2
_cell_length_a 4.3129
_cell_length_b 7.2419
_cell_length_c 7.8445
_cell_angle_alpha 117.32
_cell_angle_beta 105.96
_cell_angle_gamma 90.00
_space_group_name_H-M_alt 'P 1'
_space_group_IT_number 1
_space_group_name_Hall 'P 1'
loop_
_atom_site_label
_atom_site_type_symbol
_atom_site_fract_x
_atom_site_fract_y
_atom_site_fract_z
La1 La 0.1356 0.4725 0.2711
La2 La 0.8644 0.5275 0.7289
La3 La 0.3725 0.0414 0.7451
La4 La 0.6275 0.9586 0.2549
Pt1 Pt 0.0000 0.0000 0.0000
Rh1 Rh 0.2449 0.2438 0.4898
Rh2 Rh 0.7551 0.7562 0.5102

***

Entry 4:
# La3Pt8Rh, relaxed, DFT GGA-PBE
# Space group: R3m (160)
# Theoretical density: 14.8 g/cm³
# ΔE_f: -0.86 eV/atom
# Fermi-level density of states: 1.00 states/eV per atom
data_La3Pt8Rh
_cell_length_a 5.4919
_cell_length_b 5.4919
_cell_length_c 9.5002
_cell_angle_alpha 73.20
_cell_angle_beta 73.20
_cell_angle_gamma 60.00
_space_group_name_H-M_alt 'P 1'
_space_group_IT_number 1
_space_group_name_Hall 'P 1'
loop_
_atom_site_label
_atom_site_type_symbol
_atom_site_fract_x
_atom_site_fract_y
_atom_site_fract_z
La1 La 0.6212 0.6212 0.1364
La2 La 0.0134 0.0134 0.9598
La3 La 0.4906 0.4906 0.5281
Pt1 Pt 0.5625 0.0583 0.8167
Pt2 Pt 0.0606 0.5607 0.3181
Pt3 Pt 0.5625 0.5625 0.8167
Pt4 Pt 0.0606 0.0606 0.3181
Pt5 Pt 0.8104 0.8104 0.5688
Pt6 Pt 0.3112 0.3112 0.0663
Pt7 Pt 0.0583 0.5625 0.8167
Pt8 Pt 0.5607 0.0606 0.3181
Rh1 Rh 0.1379 0.1379 0.5862

***

Entry 5:
# La8Pt5Rh, relaxed, DFT GGA-PBE
# Space group: I-4 (82)
# Theoretical density: 9.5 g/cm³
# ΔE_f: -1.00 eV/atom
# Fermi-level density of states: 0.95 states/eV per atom
data_La8Pt5Rh
_cell_length_a 7.9159
_cell_length_b 7.9159
_cell_length_c 7.9159
_cell_angle_alpha 109.73
_cell_angle_beta 108.96
_cell_angle_gamma 109.73
_space_group_name_H-M_alt 'P 1'
_space_group_IT_number 1
_space_group_name_Hall 'P 1'
loop_
_atom_site_label
_atom_site_type_symbol
_atom_site_fract_x
_atom_site_fract_y
_atom_site_fract_z
La1 La 0.1285 0.7460 0.9880
La2 La 0.0120 0.1405 0.7580
La3 La 0.7435 0.2506 0.3749
La4 La 0.6251 0.3685 0.8756
La5 La 0.5071 0.6315 0.2565
La6 La 0.6175 0.8595 0.8715
La7 La 0.2420 0.2540 0.3825
La8 La 0.1244 0.7494 0.4929
Pt1 Pt 0.9975 0.3731 0.1260
Pt2 Pt 0.8740 0.8716 0.2472
Pt3 Pt 0.7528 0.6269 0.6244
Pt4 Pt 0.5000 0.0000 0.5000
Pt5 Pt 0.3756 0.1284 0.0025
Rh1 Rh 0.2500 0.5000 0.7500

***

Entry 6:
# La2PtRh, relaxed, DFT GGA-PBE
# Space group: R3m (160)
# Theoretical density: 7.7 g/cm³
# ΔE_f: -0.62 eV/atom
# Fermi-level density of states: 0.83 states/eV per atom
data_La2PtRh
_cell_length_a 8.2874
_cell_length_b 8.2874
_cell_length_c 8.2874
_cell_angle_alpha 29.67
_cell_angle_beta 29.67
_cell_angle_gamma 29.67
_space_group_name_H-M_alt 'P 1'
_space_group_IT_number 1
_space_group_name_Hall 'P 1'
loop_
_atom_site_label
_atom_site_type_symbol
_atom_site_fract_x
_atom_site_fract_y
_atom_site_fract_z
La1 La 0.9577 0.9577 0.9577
La2 La 0.7890 0.7890 0.7890
Pt1 Pt 0.5175 0.5175 0.5175
Rh1 Rh 0.2358 0.2358 0.2358

***

Entry 7:
# LaPtRh, relaxed, DFT GGA-PBE
# Offset from the most stable computed form: 721.3 meV/atom
# Space group: F-43m (216)
# Theoretical density: 10.2 g/cm³
# ΔE_f: -0.20 eV/atom
# Fermi-level density of states: 0.39 states/eV per atom
data_LaPtRh
_cell_length_a 4.6486
_cell_length_b 4.6486
_cell_length_c 4.6486
_cell_angle_alpha 60.00
_cell_angle_beta 60.00
_cell_angle_gamma 60.00
_space_group_name_H-M_alt 'P 1'
_space_group_IT_number 1
_space_group_name_Hall 'P 1'
loop_
_atom_site_label
_atom_site_type_symbol
_atom_site_fract_x
_atom_site_fract_y
_atom_site_fract_z
La1 La 0.2500 0.2500 0.2500
Pt1 Pt 0.0000 0.0000 0.0000
Rh1 Rh 0.5000 0.5000 0.5000

***

Entry 8:
# La3Pt2Rh7, relaxed, DFT GGA-PBE
# Space group: R-3m (166)
# Theoretical density: 11.3 g/cm³
# ΔE_f: -0.63 eV/atom
# Fermi-level density of states: 0.95 states/eV per atom
data_La3Pt2Rh7
_cell_length_a 5.3875
_cell_length_b 5.3875
_cell_length_c 9.4595
_cell_angle_alpha 73.46
_cell_angle_beta 73.46
_cell_angle_gamma 60.00
_space_group_name_H-M_alt 'P 1'
_space_group_IT_number 1
_space_group_name_Hall 'P 1'
loop_
_atom_site_label
_atom_site_type_symbol
_atom_site_fract_x
_atom_site_fract_y
_atom_site_fract_z
La1 La 0.0000 0.0000 0.0000
La2 La 0.8611 0.8611 0.4166
La3 La 0.1389 0.1389 0.5834
Pt1 Pt 0.6672 0.6672 0.9984
Pt2 Pt 0.3328 0.3328 0.0016
Rh1 Rh 0.5000 0.5000 0.5000
Rh2 Rh 0.9180 0.4171 0.2478
Rh3 Rh 0.4171 0.9180 0.2478
Rh4 Rh 0.4171 0.4171 0.2478
Rh5 Rh 0.0820 0.5829 0.7522
Rh6 Rh 0.5829 0.5829 0.7522
Rh7 Rh 0.5829 0.0820 0.7522